(1)
# RbBa2Br (PBE, optimized geometry)
# Calculated density ... 3.1 g/cm3
# Magnetic moment ... 0.3 μB/f.u.
data_RbBa2Br
_chemical_formula_sum 'Rb3 Ba6 Br3'
_space_group_name_H-M_alt 'R -3 m'
_space_group_IT_number 166
_space_group_name_Hall '-R 3 2"'
_cell_length_a 4.4563
_cell_length_b 4.4563
_cell_length_c 40.5801
_cell_angle_alpha 90.00
_cell_angle_beta 90.00
_cell_angle_gamma 120.00
loop_
_atom_site_label
_atom_site_type_symbol
_atom_site_fract_x
_atom_site_fract_y
_atom_site_fract_z
_atom_site_occupancy
Rb1 Rb 0.0000 0.0000 0.0000 1
Ba1 Ba 0.0000 0.0000 0.1091 1
Br1 Br 0.0000 0.0000 0.5000 1

(2)
# RbBa2Br (PBE, optimized geometry)
# Calculated density ... 3.4 g/cm3
# Magnetic moment ... 2.0 μB/f.u.
data_RbBa2Br
_chemical_formula_sum 'Rb4 Ba8 Br4'
_space_group_name_H-M_alt 'F m -3 m'
_space_group_IT_number 225
_space_group_name_Hall '-F 4 2 3'
_cell_length_a 9.532
_cell_length_b 9.532
_cell_length_c 9.532
_cell_angle_alpha 90.00
_cell_angle_beta 90.00
_cell_angle_gamma 90.00
loop_
_atom_site_label
_atom_site_type_symbol
_atom_site_fract_x
_atom_site_fract_y
_atom_site_fract_z
_atom_site_occupancy
Rb1 Rb 0.000 0.000 0.000 1
Ba1 Ba 0.250 0.250 0.250 1
Br1 Br 0.000 0.000 0.500 1

(3)
# RbBa2Br (PBE, optimized geometry)
# Calculated density ... 2.9 g/cm3
# Magnetic moment ... 1.0 μB/f.u.
data_RbBa2Br
_chemical_formula_sum 'Rb4 Ba8 Br4'
_space_group_name_H-M_alt 'I -4 2 d'
_space_group_IT_number 122
_space_group_name_Hall 'I -4 2bw'
_cell_length_a 11.017
_cell_length_b 11.017
_cell_length_c 8.218
_cell_angle_alpha 90.00
_cell_angle_beta 90.00
_cell_angle_gamma 90.00
loop_
_atom_site_label
_atom_site_type_symbol
_atom_site_fract_x
_atom_site_fract_y
_atom_site_fract_z
_atom_site_occupancy
Rb1 Rb 0.000 0.000 0.000 1
Ba1 Ba 0.141 0.250 0.625 1
Br1 Br 0.000 0.000 0.500 1

Which of them is most stable, and which least? Most stable: (1); least stable: (2).